*one*
A relaxed ScSbTe4 crystal. Source: Alexandria via LeMat-Bulk, functional PBE.

```
data_ScSbTe4
_chemical_formula_sum 'Sc1 Sb1 Te4'
_symmetry_space_group_name_H-M 'P 1'
_symmetry_Int_Tables_number 1
_symmetry_space_group_name_Hall 'P 1'
_cell_length_a 7.602
_cell_length_b 7.602
_cell_length_c 7.534
_cell_angle_alpha 119.30
_cell_angle_beta 119.30
_cell_angle_gamma 30.54
loop_
_atom_site_label
_atom_site_type_symbol
_atom_site_fract_x
_atom_site_fract_y
_atom_site_fract_z
_atom_site_occupancy
Sc1 Sc 0.000 0.000 0.000 1
Sb1 Sb 0.500 0.500 0.500 1
Te1 Te 0.142 0.142 0.828 1
Te2 Te 0.366 0.366 0.703 1
Te3 Te 0.634 0.634 0.297 1
Te4 Te 0.858 0.858 0.172 1
```

Summary:
Symmetry: C2/m (12)
Magnetization (μB per formula unit): 0.0

***

*two*
A relaxed ScSbTe4 crystal. Source: Alexandria via LeMat-Bulk, functional PBE.

```
data_ScSbTe4
_chemical_formula_sum 'Sc1 Sb1 Te4'
_symmetry_space_group_name_H-M 'P 1'
_symmetry_Int_Tables_number 1
_symmetry_space_group_name_Hall 'P 1'
_cell_length_a 6.271
_cell_length_b 6.271
_cell_length_c 6.271
_cell_angle_alpha 60.00
_cell_angle_beta 60.00
_cell_angle_gamma 60.00
loop_
_atom_site_label
_atom_site_type_symbol
_atom_site_fract_x
_atom_site_fract_y
_atom_site_fract_z
_atom_site_occupancy
Sc1 Sc 0.000 0.000 0.000 1
Sb1 Sb 0.250 0.250 0.250 1
Te1 Te 0.124 0.625 0.625 1
Te2 Te 0.625 0.124 0.625 1
Te3 Te 0.625 0.625 0.124 1
Te4 Te 0.625 0.625 0.625 1
```

Summary:
Symmetry: F-43m (216)
Magnetization (μB per formula unit): 0.0

***

Least stable = *two*

***

*one*
A relaxed Sc4SbTe crystal. Source: Alexandria via LeMat-Bulk, functional PBE.

```
data_Sc4SbTe
_chemical_formula_sum 'Sc8 Sb2 Te2'
_symmetry_space_group_name_H-M 'P 1'
_symmetry_Int_Tables_number 1
_symmetry_space_group_name_Hall 'P 1'
_cell_length_a 7.685
_cell_length_b 7.685
_cell_length_c 6.123
_cell_angle_alpha 105.60
_cell_angle_beta 105.60
_cell_angle_gamma 113.84
loop_
_atom_site_label
_atom_site_type_symbol
_atom_site_fract_x
_atom_site_fract_y
_atom_site_fract_z
_atom_site_occupancy
Sc1 Sc 0.084 0.700 0.922 1
Sc2 Sc 0.224 0.390 0.707 1
Sc3 Sc 0.300 0.916 0.578 1
Sc4 Sc 0.390 0.224 0.207 1
Sc5 Sc 0.610 0.776 0.793 1
Sc6 Sc 0.700 0.084 0.422 1
Sc7 Sc 0.776 0.610 0.293 1
Sc8 Sc 0.916 0.300 0.078 1
Sb1 Sb 0.002 0.998 0.250 1
Sb2 Sb 0.998 0.002 0.750 1
Te1 Te 0.381 0.619 0.250 1
Te2 Te 0.619 0.381 0.750 1
```

Summary:
Symmetry: C2/c (15)
Magnetization (μB per formula unit): 0.0

***

*two*
A relaxed Sc4SbTe crystal. Source: Alexandria via LeMat-Bulk, functional PBE.

```
data_Sc4SbTe
_chemical_formula_sum 'Sc4 Sb1 Te1'
_symmetry_space_group_name_H-M 'P 1'
_symmetry_Int_Tables_number 1
_symmetry_space_group_name_Hall 'P 1'
_cell_length_a 5.895
_cell_length_b 5.895
_cell_length_c 5.895
_cell_angle_alpha 60.00
_cell_angle_beta 60.00
_cell_angle_gamma 60.00
loop_
_atom_site_label
_atom_site_type_symbol
_atom_site_fract_x
_atom_site_fract_y
_atom_site_fract_z
_atom_site_occupancy
Sc1 Sc 0.376 0.376 0.376 1
Sc2 Sc 0.376 0.376 0.873 1
Sc3 Sc 0.376 0.873 0.376 1
Sc4 Sc 0.873 0.376 0.376 1
Sb1 Sb 0.750 0.750 0.750 1
Te1 Te 0.000 0.000 0.000 1
```

Summary:
Symmetry: F-43m (216)
Magnetization (μB per formula unit): 0.0

***

Least stable = *two*

***

*one*
A relaxed ThSc2Sb crystal. Source: Alexandria via LeMat-Bulk, functional PBE.

```
data_ThSc2Sb
_chemical_formula_sum 'Th2 Sc4 Sb2'
_symmetry_space_group_name_H-M 'P 1'
_symmetry_Int_Tables_number 1
_symmetry_space_group_name_Hall 'P 1'
_cell_length_a 6.246
_cell_length_b 6.246
_cell_length_c 9.060
_cell_angle_alpha 90.00
_cell_angle_beta 90.00
_cell_angle_gamma 143.47
loop_
_atom_site_label
_atom_site_type_symbol
_atom_site_fract_x
_atom_site_fract_y
_atom_site_fract_z
_atom_site_occupancy
Th1 Th 0.045 0.955 0.750 1
Th2 Th 0.955 0.045 0.250 1
Sc1 Sc 0.363 0.637 0.537 1
Sc2 Sc 0.363 0.637 0.963 1
Sc3 Sc 0.637 0.363 0.037 1
Sc4 Sc 0.637 0.363 0.463 1
Sb1 Sb 0.234 0.766 0.250 1
Sb2 Sb 0.766 0.234 0.750 1
```

Summary:
Symmetry: Cmcm (63)
Magnetization (μB per formula unit): 0.0

***

*two*
A relaxed ThSc2Sb crystal. Source: Alexandria via LeMat-Bulk, functional PBE.

```
data_ThSc2Sb
_chemical_formula_sum 'Th1 Sc2 Sb1'
_symmetry_space_group_name_H-M 'P 1'
_symmetry_Int_Tables_number 1
_symmetry_space_group_name_Hall 'P 1'
_cell_length_a 5.152
_cell_length_b 5.152
_cell_length_c 5.152
_cell_angle_alpha 60.00
_cell_angle_beta 60.00
_cell_angle_gamma 60.00
loop_
_atom_site_label
_atom_site_type_symbol
_atom_site_fract_x
_atom_site_fract_y
_atom_site_fract_z
_atom_site_occupancy
Th1 Th 0.000 0.000 0.000 1
Sc1 Sc 0.250 0.250 0.250 1
Sc2 Sc 0.750 0.750 0.750 1
Sb1 Sb 0.500 0.500 0.500 1
```

Summary:
Symmetry: Fm-3m (225)
Magnetization (μB per formula unit): 0.0

***

*three*
A relaxed ThSc2Sb crystal. Source: Alexandria via LeMat-Bulk, functional PBE.

```
data_ThSc2Sb
_chemical_formula_sum 'Th1 Sc2 Sb1'
_symmetry_space_group_name_H-M 'P 1'
_symmetry_Int_Tables_number 1
_symmetry_space_group_name_Hall 'P 1'
_cell_length_a 3.761
_cell_length_b 3.761
_cell_length_c 7.072
_cell_angle_alpha 90.00
_cell_angle_beta 90.00
_cell_angle_gamma 90.00
loop_
_atom_site_label
_atom_site_type_symbol
_atom_site_fract_x
_atom_site_fract_y
_atom_site_fract_z
_atom_site_occupancy
Th1 Th 0.000 0.000 0.000 1
Sc1 Sc 0.500 0.500 0.282 1
Sc2 Sc 0.500 0.500 0.718 1
Sb1 Sb 0.000 0.000 0.500 1
```

Summary:
Symmetry: P4/mmm (123)
Magnetization (μB per formula unit): 0.0

***

*four*
A relaxed ThSc2Sb crystal. Source: Alexandria via LeMat-Bulk, functional PBE.

```
data_ThSc2Sb
_chemical_formula_sum 'Th1 Sc2 Sb1'
_symmetry_space_group_name_H-M 'P 1'
_symmetry_Int_Tables_number 1
_symmetry_space_group_name_Hall 'P 1'
_cell_length_a 4.749
_cell_length_b 4.749
_cell_length_c 4.407
_cell_angle_alpha 90.00
_cell_angle_beta 90.00
_cell_angle_gamma 90.00
loop_
_atom_site_label
_atom_site_type_symbol
_atom_site_fract_x
_atom_site_fract_y
_atom_site_fract_z
_atom_site_occupancy
Th1 Th 0.000 0.000 0.000 1
Sc1 Sc 0.000 0.500 0.500 1
Sc2 Sc 0.500 0.000 0.500 1
Sb1 Sb 0.500 0.500 0.000 1
```

Summary:
Symmetry: P4/mmm (123)
Magnetization (μB per formula unit): 0.0

***

Least stable = *two*

***

*one*
A relaxed ThScSb2 crystal. Source: Alexandria via LeMat-Bulk, functional PBE.

```
data_ThScSb2
_chemical_formula_sum 'Th1 Sc1 Sb2'
_symmetry_space_group_name_H-M 'P 1'
_symmetry_Int_Tables_number 1
_symmetry_space_group_name_Hall 'P 1'
_cell_length_a 7.772
_cell_length_b 7.772
_cell_length_c 7.772
_cell_angle_alpha 32.21
_cell_angle_beta 32.21
_cell_angle_gamma 32.21
loop_
_atom_site_label
_atom_site_type_symbol
_atom_site_fract_x
_atom_site_fract_y
_atom_site_fract_z
_atom_site_occupancy
Th1 Th 0.000 0.000 0.000 1
Sc1 Sc 0.827 0.827 0.827 1
Sb1 Sb 0.421 0.421 0.421 1
Sb2 Sb 0.575 0.575 0.575 1
```

Summary:
Symmetry: R3m (160)
Magnetization (μB per formula unit): 0.0

***

*two*
A relaxed ThScSb2 crystal. Source: Alexandria via LeMat-Bulk, functional PBE.

```
data_ThScSb2
_chemical_formula_sum 'Th1 Sc1 Sb2'
_symmetry_space_group_name_H-M 'P 1'
_symmetry_Int_Tables_number 1
_symmetry_space_group_name_Hall 'P 1'
_cell_length_a 7.429
_cell_length_b 7.429
_cell_length_c 7.429
_cell_angle_alpha 34.20
_cell_angle_beta 34.20
_cell_angle_gamma 34.20
loop_
_atom_site_label
_atom_site_type_symbol
_atom_site_fract_x
_atom_site_fract_y
_atom_site_fract_z
_atom_site_occupancy
Th1 Th 0.000 0.000 0.000 1
Sc1 Sc 0.500 0.500 0.500 1
Sb1 Sb 0.242 0.242 0.242 1
Sb2 Sb 0.758 0.758 0.758 1
```

Summary:
Symmetry: R-3m (166)
Magnetization (μB per formula unit): 0.0

***

Least stable = *one*

***

*one*
A relaxed Th2ScSb2 crystal. Source: Alexandria via LeMat-Bulk, functional PBE.

```
data_Th2ScSb2
_chemical_formula_sum 'Th4 Sc2 Sb4'
_symmetry_space_group_name_H-M 'P 1'
_symmetry_Int_Tables_number 1
_symmetry_space_group_name_Hall 'P 1'
_cell_length_a 8.233
_cell_length_b 8.233
_cell_length_c 4.276
_cell_angle_alpha 90.00
_cell_angle_beta 90.00
_cell_angle_gamma 90.00
loop_
_atom_site_label
_atom_site_type_symbol
_atom_site_fract_x
_atom_site_fract_y
_atom_site_fract_z
_atom_site_occupancy
Th1 Th 0.155 0.345 0.000 1
Th2 Th 0.345 0.845 0.000 1
Th3 Th 0.655 0.155 0.000 1
Th4 Th 0.845 0.655 0.000 1
Sc1 Sc 0.000 0.000 0.500 1
Sc2 Sc 0.500 0.500 0.500 1
Sb1 Sb 0.149 0.649 0.500 1
Sb2 Sb 0.351 0.149 0.500 1
Sb3 Sb 0.649 0.851 0.500 1
Sb4 Sb 0.851 0.351 0.500 1
```

Summary:
Symmetry: P4/mbm (127)
Magnetization (μB per formula unit): 0.0

***

*two*
A relaxed Th2ScSb2 crystal. Source: Alexandria via LeMat-Bulk, functional PBE.

```
data_Th2ScSb2
_chemical_formula_sum 'Th4 Sc2 Sb4'
_symmetry_space_group_name_H-M 'P 1'
_symmetry_Int_Tables_number 1
_symmetry_space_group_name_Hall 'P 1'
_cell_length_a 7.950
_cell_length_b 7.950
_cell_length_c 7.950
_cell_angle_alpha 117.95
_cell_angle_beta 81.00
_cell_angle_gamma 133.45
loop_
_atom_site_label
_atom_site_type_symbol
_atom_site_fract_x
_atom_site_fract_y
_atom_site_fract_z
_atom_site_occupancy
Th1 Th 0.143 0.149 0.292 1
Th2 Th 0.357 0.649 0.007 1
Th3 Th 0.643 0.351 0.993 1
Th4 Th 0.857 0.851 0.708 1
Sc1 Sc 0.250 0.750 0.500 1
Sc2 Sc 0.750 0.250 0.500 1
Sb1 Sb 0.110 0.763 0.873 1
Sb2 Sb 0.390 0.263 0.653 1
Sb3 Sb 0.610 0.737 0.347 1
Sb4 Sb 0.890 0.237 0.127 1
```

Summary:
Symmetry: Ibam (72)
Magnetization (μB per formula unit): 0.0

***

Least stable = *two*

***

*one*
A relaxed ScTi2Sb2 crystal. Source: Alexandria via LeMat-Bulk, functional PBE.

```
data_ScTi2Sb2
_chemical_formula_sum 'Sc2 Ti4 Sb4'
_symmetry_space_group_name_H-M 'P 1'
_symmetry_Int_Tables_number 1
_symmetry_space_group_name_Hall 'P 1'
_cell_length_a 7.204
_cell_length_b 7.204
_cell_length_c 5.375
_cell_angle_alpha 110.96
_cell_angle_beta 110.96
_cell_angle_gamma 101.07
loop_
_atom_site_label
_atom_site_type_symbol
_atom_site_fract_x
_atom_site_fract_y
_atom_site_fract_z
_atom_site_occupancy
Sc1 Sc 0.086 0.914 0.750 1
Sc2 Sc 0.914 0.086 0.250 1
Ti1 Ti 0.237 0.409 0.053 1
Ti2 Ti 0.409 0.237 0.553 1
Ti3 Ti 0.591 0.763 0.447 1
Ti4 Ti 0.763 0.591 0.947 1
Sb1 Sb 0.187 0.813 0.250 1
Sb2 Sb 0.366 0.634 0.750 1
Sb3 Sb 0.634 0.366 0.250 1
Sb4 Sb 0.813 0.187 0.750 1
```

Summary:
Symmetry: C2/c (15)
Magnetization (μB per formula unit): 0.0

***

*two*
A relaxed ScTi2Sb2 crystal. Source: Alexandria via LeMat-Bulk, functional PBE.

```
data_ScTi2Sb2
_chemical_formula_sum 'Sc1 Ti2 Sb2'
_symmetry_space_group_name_H-M 'P 1'
_symmetry_Int_Tables_number 1
_symmetry_space_group_name_Hall 'P 1'
_cell_length_a 5.477
_cell_length_b 5.477
_cell_length_c 5.477
_cell_angle_alpha 122.39
_cell_angle_beta 122.39
_cell_angle_gamma 85.91
loop_
_atom_site_label
_atom_site_type_symbol
_atom_site_fract_x
_atom_site_fract_y
_atom_site_fract_z
_atom_site_occupancy
Sc1 Sc 0.000 0.000 0.000 1
Ti1 Ti 0.351 0.351 0.000 1
Ti2 Ti 0.649 0.649 0.000 1
Sb1 Sb 0.250 0.750 0.500 1
Sb2 Sb 0.750 0.250 0.500 1
```

Summary:
Symmetry: I4/mmm (139)
Magnetization (μB per formula unit): 0.0

***

Least stable = *two*